A.
Hf2SnAs after structural relaxation, computed with GGA-PBE.

abc: 3.901 3.901 7.066
angles: 73.98 73.98 60.00
Element x y z (fractional)
1 As 0.000 0.000 0.000
2 Sn 0.500 0.500 0.500
3 Hf 0.741 0.741 0.778
4 Hf 0.259 0.259 0.222

Results
Theoretical density: 10.36 g cm⁻³
Space group: R-3m (166)
Density of states at the Fermi level: 3.025 states/eV per cell

=====

B.
Hf2SnAs after structural relaxation, computed with GGA-PBE.

abc: 4.882 4.882 4.882
angles: 60.00 60.00 60.00
Element x y z (fractional)
1 Hf 0.750 0.750 0.750
2 Sn 0.500 0.500 0.500
3 Hf 0.250 0.250 0.250
4 As 0.000 0.000 0.000

Results
Theoretical density: 11.11 g cm⁻³
Space group: Fm-3m (225)
Density of states at the Fermi level: 3.644 states/eV per cell

=====

Energy above the most stable structure, in kJ/mol of atoms: A 0.0; B 25.6

=====

A.
Hf4Sn2As after structural relaxation, computed with GGA-PBE.

abc: 3.323 6.512 8.307
angles: 116.36 101.54 90.00
Element x y z (fractional)
1 Hf 0.612 0.322 0.223
2 Hf 0.080 0.726 0.161
3 Sn 0.757 0.799 0.513
4 As 0.000 0.000 0.000
5 Hf 0.920 0.274 0.839
6 Hf 0.388 0.678 0.777
7 Sn 0.243 0.201 0.487

Results
Theoretical density: 10.85 g cm⁻³
Space group: C2/m (12)
Density of states at the Fermi level: 4.978 states/eV per cell

=====

B.
Hf4Sn2As after structural relaxation, computed with GGA-PBE.

abc: 4.801 4.801 8.298
angles: 73.19 73.19 90.00
Element x y z (fractional)
1 Hf 0.500 0.000 0.000
2 Hf 0.169 0.169 0.663
3 Hf 0.000 0.500 0.000
4 As 0.000 0.000 0.000
5 Hf 0.831 0.831 0.337
6 Sn 0.361 0.361 0.278
7 Sn 0.639 0.639 0.722

Results
Theoretical density: 9.77 g cm⁻³
Space group: I4/mmm (139)
Density of states at the Fermi level: 4.328 states/eV per cell

=====

Energy above the most stable structure, in kJ/mol of atoms: A 0.0; B 28.8